[1]
NdTm2Ga | PBE | optimized geometry

```
data_NdTm2Ga
_chemical_formula_sum 'Nd1 Tm2 Ga1'
_cell_length_a 4.7474
_cell_length_b 4.7474
_cell_length_c 4.7078
_cell_angle_alpha 90.00
_cell_angle_beta 90.00
_cell_angle_gamma 90.00
_space_group_name_H-M_alt 'P 1'
_space_group_IT_number 1
loop_
_space_group_symop_operation_xyz
'x,y,z'
loop_
_atom_site_label
_atom_site_type_symbol
_atom_site_fract_x
_atom_site_fract_y
_atom_site_fract_z
_atom_site_occupancy
Nd1 Nd 0.0000 0.0000 0.0000 1
Tm1 Tm 0.0000 0.5000 0.5000 1
Tm2 Tm 0.5000 0.0000 0.5000 1
Ga1 Ga 0.5000 0.5000 0.0000 1
```

***

[2]
NdTmGa4 | PBE | optimized geometry

```
data_NdTmGa4
_chemical_formula_sum 'Nd1 Tm1 Ga4'
_cell_length_a 4.2340
_cell_length_b 4.2340
_cell_length_c 8.3311
_cell_angle_alpha 90.00
_cell_angle_beta 90.00
_cell_angle_gamma 120.00
_space_group_name_H-M_alt 'P 1'
_space_group_IT_number 1
loop_
_space_group_symop_operation_xyz
'x,y,z'
loop_
_atom_site_label
_atom_site_type_symbol
_atom_site_fract_x
_atom_site_fract_y
_atom_site_fract_z
_atom_site_occupancy
Nd1 Nd 0.0000 0.0000 0.0000 1
Tm1 Tm 0.0000 0.0000 0.5000 1
Ga1 Ga 0.3333 0.6667 0.2606 1
Ga2 Ga 0.3333 0.6667 0.7394 1
Ga3 Ga 0.6667 0.3333 0.2606 1
Ga4 Ga 0.6667 0.3333 0.7394 1
```

***

[3]
Nd2Tm3Ga4 | PBE | optimized geometry

```
data_Nd2Tm3Ga4
_chemical_formula_sum 'Nd4 Tm6 Ga8'
_cell_length_a 8.6784
_cell_length_b 8.6784
_cell_length_c 8.4770
_cell_angle_alpha 90.00
_cell_angle_beta 90.00
_cell_angle_gamma 133.79
_space_group_name_H-M_alt 'P 1'
_space_group_IT_number 1
loop_
_space_group_symop_operation_xyz
'x,y,z'
loop_
_atom_site_label
_atom_site_type_symbol
_atom_site_fract_x
_atom_site_fract_y
_atom_site_fract_z
_atom_site_occupancy
Nd1 Nd 0.1065 0.8935 0.9188 1
Nd2 Nd 0.3935 0.6065 0.4188 1
Nd3 Nd 0.6065 0.3935 0.5812 1
Nd4 Nd 0.8935 0.1065 0.0812 1
Tm1 Tm 0.0000 0.0000 0.5000 1
Tm2 Tm 0.0333 0.4667 0.7500 1
Tm3 Tm 0.4667 0.0333 0.2500 1
Tm4 Tm 0.5000 0.5000 0.0000 1
Tm5 Tm 0.5333 0.9667 0.7500 1
Tm6 Tm 0.9667 0.5333 0.2500 1
Ga1 Ga 0.1837 0.8163 0.5421 1
Ga2 Ga 0.2133 0.2867 0.7500 1
Ga3 Ga 0.2867 0.2133 0.2500 1
Ga4 Ga 0.3163 0.6837 0.0421 1
Ga5 Ga 0.6837 0.3163 0.9579 1
Ga6 Ga 0.7133 0.7867 0.7500 1
Ga7 Ga 0.7867 0.7133 0.2500 1
Ga8 Ga 0.8163 0.1837 0.4579 1
```

***

[4]
Nd2Tm3Ga4 | PBE | optimized geometry

```
data_Nd2Tm3Ga4
_chemical_formula_sum 'Nd4 Tm6 Ga8'
_cell_length_a 7.9211
_cell_length_b 7.9363
_cell_length_c 7.5806
_cell_angle_alpha 90.00
_cell_angle_beta 107.16
_cell_angle_gamma 90.00
_space_group_name_H-M_alt 'P 1'
_space_group_IT_number 1
loop_
_space_group_symop_operation_xyz
'x,y,z'
loop_
_atom_site_label
_atom_site_type_symbol
_atom_site_fract_x
_atom_site_fract_y
_atom_site_fract_z
_atom_site_occupancy
Nd1 Nd 0.1923 0.1794 0.0752 1
Nd2 Nd 0.1923 0.3206 0.5752 1
Nd3 Nd 0.8077 0.6794 0.4248 1
Nd4 Nd 0.8077 0.8206 0.9248 1
Tm1 Tm 0.2432 0.6755 0.2502 1
Tm2 Tm 0.2432 0.8245 0.7502 1
Tm3 Tm 0.5000 0.0000 0.5000 1
Tm4 Tm 0.5000 0.5000 0.0000 1
Tm5 Tm 0.7568 0.1755 0.2498 1
Tm6 Tm 0.7568 0.3245 0.7498 1
Ga1 Ga 0.0800 0.5310 0.8679 1
Ga2 Ga 0.0800 0.9690 0.3679 1
Ga3 Ga 0.4951 0.1194 0.8766 1
Ga4 Ga 0.4951 0.3806 0.3766 1
Ga5 Ga 0.5049 0.6194 0.6234 1
Ga6 Ga 0.5049 0.8806 0.1234 1
Ga7 Ga 0.9200 0.0310 0.6321 1
Ga8 Ga 0.9200 0.4690 0.1321 1
```

***

Number 1: total DFT energy (no corrections) -17.65 eV for the cell shown, magnetic moment 0.0 μB/f.u.. Number 2: total DFT energy (no corrections) -25.19 eV for the cell shown, magnetic moment 0.0 μB/f.u.. Number 3: total DFT energy (no corrections) -77.87 eV for the cell shown, magnetic moment 0.0 μB/f.u.. Number 4: total DFT energy (no corrections) -80.65 eV for the cell shown, magnetic moment 0.0 μB/f.u..